Entry 1:
The following is a DFT calculation (PBE) of a relaxed structure of Th6ZnTe5.

Summary:
density: 9.310 Mg/m³
formation energy (no corrections): -0.885 eV per atom
crystal system: monoclinic

abc: 7.876 13.267 7.564
angles: 90.00 108.95 90.00
Space group C2/m (No. 12)
Unique sites:
Th (0.216, 0.000, 0.241) (multiplicity 4)
Th (0.228, 0.157, 0.729) (multiplicity 8)
Zn (0.000, 0.000, 0.500) (multiplicity 2)
Te (0.000, 0.184, 0.000) (multiplicity 4)
Te (0.000, 0.343, 0.500) (multiplicity 4)
Te (0.000, 0.500, 0.000) (multiplicity 2)

Entry 2:
The following is a DFT calculation (PBE) of a relaxed structure of ThZnTe3.

Summary:
density: 7.062 Mg/m³
formation energy (no corrections): -0.788 eV per atom
crystal system: monoclinic

abc: 7.420 7.949 12.570
angles: 90.00 120.34 90.00
Space group P2_1/c (No. 14)
Unique sites:
Th (0.166, 0.125, 0.223) (multiplicity 4)
Zn (0.249, 0.672, 0.114) (multiplicity 4)
Te (0.108, 0.190, 0.940) (multiplicity 4)
Te (0.257, 0.675, 0.908) (multiplicity 4)
Te (0.452, 0.054, 0.788) (multiplicity 4)